## YRu2Pb2 (GGA-PBE)

Data for an optimized crystal structure of YRu2Pb2.

```
YRu2Pb2
1.0
-3.7782 2.5616 -0.5284
-2.4950 -3.8084 -0.6221
-4.0743 -0.8919 4.8287
Ru Y Pb
2 1 2
Direct
0.7500 0.2500 0.5000
0.2500 0.7500 0.5000
0.0000 0.0000 0.0000
0.6311 0.6311 0.7377
0.3689 0.3689 0.2623
```

Summary:
- DOS(E_F): 0.537 states/eV/atom
- Total DFT energy (no corrections): -6.29 eV per atom
- Space-group type: I4/mmm